Entry 1:
! CaTa | Alexandria via LeMat-Bulk | PBE | optimized geometry; values from VASP
! Space-group type = No. 12
! Energy = -0.4719 Ry/atom
! Calculated volume = 159.50 Å³/cell
! Polymorph energy (0 for the lowest one) = 0.30 eV per formula unit
! Density = 6.9 g/cm³
&SYSTEM
  ibrav = 0, nat = 6, ntyp = 2
/
ATOMIC_SPECIES
Ca 40.08 Ca.upf
Ta 180.95 Ta.upf
CELL_PARAMETERS angstrom
5.4105 -1.7814 0.0000
5.4105 1.7814 0.0000
-2.6636 0.0000 8.2745
ATOMIC_POSITIONS angstrom
Ca 0.0000 0.0000 0.0000
Ca 2.9017 0.0000 1.7798
Ca 5.2556 0.0000 6.4947
Ta -1.3318 0.0000 4.1373
Ta 2.0768 0.0000 4.9170
Ta 6.0805 0.0000 3.3575

***

Entry 2:
! CoRe3 | Alexandria via LeMat-Bulk | PBE | optimized geometry; values from VASP
! Space-group type = No. 221
! Energy = -0.8147 Ry/atom
! Calculated volume = 55.56 Å³/cell
! Density = 18.5 g/cm³
&SYSTEM
  ibrav = 0, nat = 4, ntyp = 2
/
ATOMIC_SPECIES
Co 58.93 Co.upf
Re 186.21 Re.upf
CELL_PARAMETERS angstrom
3.8158 0.0000 0.0000
0.0000 3.8158 0.0000
0.0000 0.0000 3.8158
ATOMIC_POSITIONS angstrom
Co 0.0000 0.0000 0.0000
Re 0.0000 1.9079 1.9079
Re 1.9079 0.0000 1.9079
Re 1.9079 1.9079 0.0000

***

Entry 3:
! LaAs2Pd | Alexandria via LeMat-Bulk | PBE | optimized geometry; values from VASP
! Space-group type = No. 122
! Energy = -0.4082 Ry/atom
! Calculated volume = 197.84 Å³/cell
! Density = 6.6 g/cm³
&SYSTEM
  ibrav = 0, nat = 8, ntyp = 3
/
ATOMIC_SPECIES
La 138.91 La.upf
As 74.92 As.upf
Pd 106.42 Pd.upf
CELL_PARAMETERS angstrom
-2.3907 2.3907 8.6537
2.3907 -2.3907 8.6537
2.3907 2.3907 -8.6537
ATOMIC_POSITIONS angstrom
La 0.0000 0.0000 0.0000
La 0.0000 2.3907 4.3269
As 1.1954 -0.5543 6.4903
As 1.8364 1.1954 2.1634
As 1.1954 2.9450 -2.1634
As 0.5543 1.1954 10.8171
Pd 2.3907 0.0000 4.3269
Pd 0.0000 0.0000 8.6537

***

Entry 4:
! TiMn2Nb6 | Alexandria via LeMat-Bulk | PBE | optimized geometry; values from VASP
! Space-group type = No. 12
! Energy = -0.7100 Ry/atom
! Calculated volume = 148.19 Å³/cell
! Density = 8.0 g/cm³
&SYSTEM
  ibrav = 0, nat = 9, ntyp = 3
/
ATOMIC_SPECIES
Ti 47.87 Ti.upf
Mn 54.94 Mn.upf
Nb 92.91 Nb.upf
CELL_PARAMETERS angstrom
5.1035 -1.5891 0.0000
5.1035 1.5891 0.0000
-3.2032 0.0000 9.1361
ATOMIC_POSITIONS angstrom
Ti 0.0000 0.0000 0.0000
Mn 0.9401 0.0000 7.1286
Mn 6.0638 0.0000 2.0074
Nb -0.9741 0.0000 2.9606
Nb 2.9286 0.0000 1.0321
Nb 1.9550 0.0000 3.9673
Nb 5.0489 0.0000 5.1687
Nb 4.0753 0.0000 8.1040
Nb 7.9780 0.0000 6.1754

***

Entry 5:
! Ce5Rh2Au4 | Alexandria via LeMat-Bulk | PBE | optimized geometry; values from VASP
! Space-group type = No. 55
! Energy = -0.4355 Ry/atom
! Calculated volume = 500.28 Å³/cell
! Density = 11.2 g/cm³
&SYSTEM
  ibrav = 0, nat = 22, ntyp = 3
/
ATOMIC_SPECIES
Ce 140.12 Ce.upf
Rh 102.91 Rh.upf
Au 196.97 Au.upf
CELL_PARAMETERS angstrom
7.6458 0.0000 0.0000
0.0000 17.9388 0.0000
0.0000 0.0000 3.6475
ATOMIC_POSITIONS angstrom
Ce 0.0000 0.0000 0.0000
Ce 1.0027 7.5788 0.0000
Ce 1.8541 3.8611 0.0000
Ce 1.9688 12.8305 0.0000
Ce 2.8202 16.5482 0.0000
Ce 3.8229 8.9694 0.0000
Ce 4.8256 1.3906 0.0000
Ce 5.6770 5.1083 0.0000
Ce 5.7917 14.0778 0.0000
Ce 6.6431 10.3600 0.0000
Rh 0.2896 5.4632 1.8237
Rh 3.5333 14.4326 1.8237
Rh 4.1126 3.5063 1.8237
Rh 7.3562 12.4757 1.8237
Au 0.5804 15.2631 1.8237
Au 1.6034 10.2122 1.8237
Au 2.2195 1.2428 1.8237
Au 3.2426 6.2937 1.8237
Au 4.4033 11.6452 1.8237
Au 5.4263 16.6960 1.8237
Au 6.0424 7.7266 1.8237
Au 7.0655 2.6757 1.8237

***

Entry 6:
! Pm3Pr4Ni4 | Alexandria via LeMat-Bulk | PBE | optimized geometry; values from VASP
! Space-group type = No. 71
! Energy = -0.3868 Ry/atom
! Calculated volume = 277.47 Å³/cell
! Density = 7.4 g/cm³
&SYSTEM
  ibrav = 0, nat = 11, ntyp = 3
/
ATOMIC_SPECIES
Pm 145.00 Pm.upf
Pr 140.91 Pr.upf
Ni 58.69 Ni.upf
CELL_PARAMETERS angstrom
-2.3868 3.7946 7.6590
2.3868 -3.7946 7.6590
2.3868 3.7946 -7.6590
ATOMIC_POSITIONS angstrom
Pm 0.0000 0.0000 0.0000
Pm 2.3868 0.0000 6.1224
Pm 0.0000 3.7946 1.5366
Pr 2.3868 1.6689 -2.5585
Pr 2.3868 1.6689 2.5585
Pr 0.0000 2.1257 5.1005
Pr 0.0000 2.1257 10.2175
Ni 0.0000 0.0000 3.0975
Ni 2.3868 2.5888 0.0000
Ni 0.0000 1.2058 7.6590
Ni 0.0000 0.0000 12.2205

***

Entry 7:
! CeU2P | Alexandria via LeMat-Bulk | PBE | optimized geometry; values from VASP
! Space-group type = No. 225
! Energy = -0.6221 Ry/atom
! Calculated volume = 77.58 Å³/cell
! Density = 13.9 g/cm³
&SYSTEM
  ibrav = 0, nat = 4, ntyp = 3
/
ATOMIC_SPECIES
Ce 140.12 Ce.upf
U 238.03 U.upf
P 30.97 P.upf
CELL_PARAMETERS angstrom
0.0000 3.3852 3.3852
3.3852 0.0000 3.3852
3.3852 3.3852 0.0000
ATOMIC_POSITIONS angstrom
Ce 0.0000 0.0000 0.0000
U 1.6926 1.6926 1.6926
U 5.0777 5.0777 5.0777
P 3.3852 3.3852 3.3852

***

Entry 8:
! PuUSO2 | Alexandria via LeMat-Bulk | PBE | optimized geometry; values from VASP
! Space-group type = No. 107
! Energy = -0.7610 Ry/atom
! Calculated volume = 84.89 Å³/cell
! Formation energy from raw total energies = -2.420 eV/atom
! Density = 10.7 g/cm³
&SYSTEM
  ibrav = 0, nat = 5, ntyp = 4
/
ATOMIC_SPECIES
Pu 244.00 Pu.upf
U 238.03 U.upf
S 32.06 S.upf
O 16.00 O.upf
CELL_PARAMETERS angstrom
-1.8787 1.8787 6.0130
1.8787 -1.8787 6.0130
1.8787 1.8787 -6.0130
ATOMIC_POSITIONS angstrom
Pu 0.0000 0.0000 0.0000
U 0.0000 0.0000 3.3626
S 0.0000 0.0000 7.6423
O 1.8787 0.0000 4.5736
O 0.0000 1.8787 4.5736

***

Question: The highest energy belongs to which entry?
Answer: Pm3Pr4Ni4

***

Please write out number 5 again, unchanged.
! Ce5Rh2Au4 | Alexandria via LeMat-Bulk | PBE | optimized geometry; values from VASP
! Space-group type = No. 55
! Energy = -0.4355 Ry/atom
! Calculated volume = 500.28 Å³/cell
! Density = 11.2 g/cm³
&SYSTEM
  ibrav = 0, nat = 22, ntyp = 3
/
ATOMIC_SPECIES
Ce 140.12 Ce.upf
Rh 102.91 Rh.upf
Au 196.97 Au.upf
CELL_PARAMETERS angstrom
7.6458 0.0000 0.0000
0.0000 17.9388 0.0000
0.0000 0.0000 3.6475
ATOMIC_POSITIONS angstrom
Ce 0.0000 0.0000 0.0000
Ce 1.0027 7.5788 0.0000
Ce 1.8541 3.8611 0.0000
Ce 1.9688 12.8305 0.0000
Ce 2.8202 16.5482 0.0000
Ce 3.8229 8.9694 0.0000
Ce 4.8256 1.3906 0.0000
Ce 5.6770 5.1083 0.0000
Ce 5.7917 14.0778 0.0000
Ce 6.6431 10.3600 0.0000
Rh 0.2896 5.4632 1.8237
Rh 3.5333 14.4326 1.8237
Rh 4.1126 3.5063 1.8237
Rh 7.3562 12.4757 1.8237
Au 0.5804 15.2631 1.8237
Au 1.6034 10.2122 1.8237
Au 2.2195 1.2428 1.8237
Au 3.2426 6.2937 1.8237
Au 4.4033 11.6452 1.8237
Au 5.4263 16.6960 1.8237
Au 6.0424 7.7266 1.8237
Au 7.0655 2.6757 1.8237